(1)
Computed, not measured: crystalline Y6Ge2PtSe3 at its relaxed geometry at the PBE level of DFT.

Symmetry: C2/m
DOS(E_F) in states/eV per cell: 5.69
ρ in g/cm3: 6.1
Magnetization in μB per atom: 0.00
Formation energy without anion corrections in eV per atom: -1.412

Cell lengths 4.110, 8.333, 9.309 Å; angles 104.78, 102.75, 90.00 degrees
Positions (direct):
Y1 0.335 0.910 0.671
Y2 0.670 0.575 0.339
Y3 0.665 0.090 0.329
Y4 0.002 0.243 0.003
Y5 0.998 0.757 0.997
Y6 0.330 0.425 0.661
Ge1 0.835 0.669 0.670
Ge2 0.165 0.331 0.330
Pt1 0.500 0.000 0.000
Se1 0.500 0.500 0.000
Se2 0.832 0.168 0.664
Se3 0.168 0.832 0.336


(2)
Computed, not measured: crystalline Si2GePt8 at its relaxed geometry at the PBE level of DFT.

Symmetry: C2/m
DOS(E_F) in states/eV per cell: 3.72
ρ in g/cm3: 15.4
Magnetization in μB per atom: 0.00
Formation energy without anion corrections in eV per atom: -0.493

Cell lengths 4.079, 6.866, 6.914 Å; angles 98.28, 90.00, 107.28 degrees
Positions (direct):
Si1 0.747 0.493 0.741
Si2 0.253 0.507 0.259
Ge1 0.500 0.000 0.000
Pt1 0.440 0.881 0.326
Pt2 0.692 0.384 0.068
Pt3 0.817 0.635 0.437
Pt4 0.937 0.874 0.798
Pt5 0.183 0.365 0.563
Pt6 0.308 0.616 0.932
Pt7 0.560 0.119 0.674
Pt8 0.063 0.126 0.202


(3)
Computed, not measured: crystalline Si2GePt2 at its relaxed geometry at the PBE level of DFT.

Symmetry: I4/mmm
DOS(E_F) in states/eV per cell: 2.46
ρ in g/cm3: 10.1
Magnetization in μB per atom: 0.00
Formation energy without anion corrections in eV per atom: -0.301

Cell lengths 3.846, 3.846, 6.364 Å; angles 72.41, 72.41, 90.00 degrees
Positions (direct):
Ge1 0.000 0.000 0.000
Si1 0.750 0.250 0.500
Si2 0.250 0.750 0.500
Pt1 0.376 0.376 0.249
Pt2 0.624 0.624 0.751